Record 1
First-principles (GGA-PBE) data for CdInRe after structural relaxation, as listed in the Alexandria database.

a b c (Å): 2.8242 4.3650 9.1607
angles (deg): 90.00 90.00 90.00
With the nearest neighbours (Å) after each atom.
Space group Imm2 (No. 44)
One atom of each set of equivalent atoms:
1 Cd 0.0000 0.0000 0.0000 x2  2 Cd 2.82, 5 In 2.92-3.09, 5 Re 2.99-3.10
2 In 0.0000 0.0000 0.6818 x2  2 In 2.82, 5 Cd 2.92-3.09, 5 Re 2.97-3.15
3 Re 0.0000 0.0000 0.3384 x2  2 Re 2.82, 5 In 2.97-3.15, 5 Cd 2.99-3.10

Output
calculated formation energy = 15.5 kcal/mol of atoms

---

Record 2
First-principles (GGA-PBE) data for Ho2TiCd after structural relaxation, as listed in the Alexandria database.

a b c (Å): 3.3944 3.3944 8.6046
angles (deg): 90.00 90.00 90.00
With the nearest neighbours (Å) after each atom.
Space group P4/mmm (No. 123)
One atom of each set of equivalent atoms:
1 Ho 0.0000 0.0000 0.2403 x2  4 Ti 3.17, 4 Cd 3.28, 4 Ho 3.39
2 Ti 0.5000 0.5000 0.0000 x1  8 Ho 3.17, 4 Ti 3.39
3 Cd 0.5000 0.5000 0.5000 x1  8 Ho 3.28, 4 Cd 3.39

Output
calculated formation energy = -1.0 kcal/mol of atoms

---

| no. | Fermi-level density of states (states/eV/atom) |
| --- | --- |
| 1 | 0.611 |
| 2 | 1.027 |